Record 1
Crystalline NaLi2Os2 at its relaxed geometry, computed with PBE.

Its theoretical density is 7.072 g/cm³. The total energy is -4.986 eV per atom. For the density of states at the Fermi level, the calculation gives 6.144 states/eV per cell. As for the energy above the most stable polymorph in this dataset: 64 meV/atom.

The structure belongs to space group I4/mmm (No. 139); the cell edges are 3.536, 3.536 and 15.676 Å and the angles 90.00°, 90.00° and 90.00°. Symmetry generates all atoms from Na at (0.000, 0.000, 0.000), Li at (0.000, 0.000, 0.381) and Os at (0.000, 0.500, 0.250).

***

Record 2
Crystalline NaLiOs3 at its relaxed geometry, computed with PBE.

Its theoretical density is 10.638 g/cm³. The total energy is -4.376 eV per atom. For the density of states at the Fermi level, the calculation gives 5.903 states/eV per cell. As for the energy above the most stable polymorph in this dataset: 1253 meV/atom.

The structure belongs to space group Pm-3m (No. 221); the cell edges are 4.543, 4.543 and 4.543 Å and the angles 90.00°, 90.00° and 90.00°. Symmetry generates all atoms from Na at (0.000, 0.000, 0.000), Li at (0.500, 0.500, 0.500) and Os at (0.000, 0.000, 0.500).

***

Record 3
Crystalline NaLiOs2 at its relaxed geometry, computed with PBE.

Its theoretical density is 10.074 g/cm³. The total energy is -5.634 eV per atom. For the density of states at the Fermi level, the calculation gives 9.156 states/eV per cell. As for the energy above the most stable polymorph in this dataset: 0 meV/atom.

The structure belongs to space group I-42d (No. 122); the cell edges are 3.662, 3.662 and 20.176 Å and the angles 90.00°, 90.00° and 90.00°. Symmetry generates all atoms from Na at (0.000, 0.000, 0.000), Li at (0.000, 0.000, 0.500) and Os at (0.211, 0.750, 0.625).

***

Record 4
Crystalline NaLi2Os at its relaxed geometry, computed with PBE.

Its theoretical density is 5.583 g/cm³. The total energy is -3.125 eV per atom. For the density of states at the Fermi level, the calculation gives 10.833 states/eV per cell. As for the energy above the most stable polymorph in this dataset: 153 meV/atom.

The structure belongs to space group I-42d (No. 122); the cell edges are 6.882, 6.882 and 5.705 Å and the angles 90.00°, 90.00° and 90.00°. Symmetry generates all atoms from Na at (0.000, 0.000, 0.000), Li at (0.246, 0.250, 0.625) and Os at (0.000, 0.000, 0.500).

***

Record 5
Crystalline Na2LiOs2 at its relaxed geometry, computed with PBE.

Its theoretical density is 5.995 g/cm³. The total energy is -4.696 eV per atom. For the density of states at the Fermi level, the calculation gives 7.798 states/eV per cell. As for the energy above the most stable polymorph in this dataset: 0 meV/atom.

The structure belongs to space group I4/mmm (No. 139); the cell edges are 3.516, 3.516 and 19.426 Å and the angles 90.00°, 90.00° and 90.00°. Symmetry generates all atoms from Na at (0.000, 0.000, 0.119), Li at (0.000, 0.000, 0.500) and Os at (0.000, 0.500, 0.250).

***

Record 6
Crystalline NaLiOs2 at its relaxed geometry, computed with PBE.

Its theoretical density is 11.911 g/cm³. The total energy is -4.928 eV per atom. For the density of states at the Fermi level, the calculation gives 25.251 states/eV per cell. As for the energy above the most stable polymorph in this dataset: 707 meV/atom.

The structure belongs to space group Fm-3m (No. 225); the cell edges are 6.117, 6.117 and 6.117 Å and the angles 90.00°, 90.00° and 90.00°. Symmetry generates all atoms from Na at (0.000, 0.000, 0.000), Li at (0.000, 0.000, 0.500) and Os at (0.250, 0.250, 0.250).

***

Number 1: energy relative to the elements 2.674 eV/f.u.. Number 2: energy relative to the elements 15.043 eV/f.u.. Number 3: energy relative to the elements 3.155 eV/f.u.. Number 4: energy relative to the elements 3.878 eV/f.u.. Number 5: energy relative to the elements 3.529 eV/f.u.. Number 6: energy relative to the elements 5.982 eV/f.u..